(1)
DFT (PBE) results for AlGa2SbF after structural relaxation.

a b c (Å): 5.039 5.039 5.151
angles (deg): 90.00 90.00 90.00
Fractional positions:
1 Al 0.000 0.000 0.000
2 Ga 0.000 0.500 0.000
3 Ga 0.500 0.000 0.000
4 Sb 0.000 0.000 0.500
5 F 0.500 0.500 0.500

Output
Its total moment is 0.0 μB/cell. The value obtained for the total DFT energy (no corrections) is -3.0876 eV per atom. The density of states at the Fermi level comes out at 3.48 states/eV/f.u.



(2)
DFT (PBE) results for Gd3Al5F12 after structural relaxation.

a b c (Å): 12.115 12.115 12.115
angles (deg): 109.47 109.47 109.47
Fractional positions:
1 Gd 0.125 0.250 0.375
2 Gd 0.125 0.375 0.750
3 Gd 0.250 0.375 0.125
4 Gd 0.250 0.875 0.625
5 Gd 0.375 0.125 0.250
6 Gd 0.375 0.750 0.125
7 Gd 0.625 0.250 0.875
8 Gd 0.625 0.875 0.750
9 Gd 0.750 0.125 0.375
10 Gd 0.750 0.625 0.875
11 Gd 0.875 0.625 0.250
12 Gd 0.875 0.750 0.625
13 Al 0.000 0.000 0.000
14 Al 0.000 0.000 0.500
15 Al 0.000 0.500 0.000
16 Al 0.000 0.500 0.500
17 Al 0.125 0.750 0.875
18 Al 0.125 0.875 0.250
19 Al 0.250 0.125 0.875
20 Al 0.250 0.625 0.375
21 Al 0.375 0.250 0.625
22 Al 0.375 0.625 0.750
23 Al 0.500 0.000 0.000
24 Al 0.500 0.000 0.500
25 Al 0.500 0.500 0.000
26 Al 0.500 0.500 0.500
27 Al 0.625 0.375 0.250
28 Al 0.625 0.750 0.375
29 Al 0.750 0.375 0.625
30 Al 0.750 0.875 0.125
31 Al 0.875 0.125 0.750
32 Al 0.875 0.250 0.125
33 F 0.070 0.641 0.406
34 F 0.070 0.929 0.664
35 F 0.071 0.235 0.141
36 F 0.071 0.336 0.930
37 F 0.094 0.735 0.664
38 F 0.094 0.859 0.430
39 F 0.141 0.071 0.235
40 F 0.141 0.570 0.906
41 F 0.164 0.235 0.594
42 F 0.164 0.429 0.570
43 F 0.235 0.141 0.071
44 F 0.235 0.594 0.164
45 F 0.265 0.336 0.906
46 F 0.265 0.429 0.359
47 F 0.336 0.906 0.265
48 F 0.336 0.930 0.071
49 F 0.359 0.265 0.429
50 F 0.359 0.594 0.930
51 F 0.406 0.070 0.641
52 F 0.406 0.836 0.765
53 F 0.429 0.359 0.265
54 F 0.429 0.570 0.164
55 F 0.430 0.094 0.859
56 F 0.430 0.836 0.571
57 F 0.570 0.164 0.429
58 F 0.570 0.906 0.141
59 F 0.571 0.430 0.836
60 F 0.571 0.641 0.735
61 F 0.594 0.164 0.235
62 F 0.594 0.930 0.359
63 F 0.641 0.406 0.070
64 F 0.641 0.735 0.571
65 F 0.664 0.070 0.929
66 F 0.664 0.094 0.735
67 F 0.735 0.571 0.641
68 F 0.735 0.664 0.094
69 F 0.765 0.406 0.836
70 F 0.765 0.859 0.929
71 F 0.836 0.571 0.430
72 F 0.836 0.765 0.406
73 F 0.859 0.430 0.094
74 F 0.859 0.929 0.765
75 F 0.906 0.141 0.570
76 F 0.906 0.265 0.336
77 F 0.929 0.664 0.070
78 F 0.929 0.765 0.859
79 F 0.930 0.071 0.336
80 F 0.930 0.359 0.594

Output
Its total moment is 78.3 μB/cell. The value obtained for the total DFT energy (no corrections) is -6.5037 eV per atom. The density of states at the Fermi level comes out at 15.50 states/eV/f.u.



(3)
DFT (PBE) results for AlGe2F after structural relaxation.

a b c (Å): 8.656 8.656 8.656
angles (deg): 151.20 151.20 41.18
Fractional positions:
1 Al 0.000 0.000 0.000
2 Al 0.750 0.250 0.500
3 Ge 0.196 0.625 0.071
4 Ge 0.375 0.446 0.571
5 Ge 0.554 0.125 0.929
6 Ge 0.875 0.804 0.429
7 F 0.250 0.750 0.500
8 F 0.500 0.500 0.000

Output
Its total moment is 0.0 μB/cell. The value obtained for the distance to the lowest polymorph of the same formula is 91.6 meV/atom. The density of states at the Fermi level comes out at 1.20 states/eV/f.u.



(4)
DFT (PBE) results for AlGe3F after structural relaxation.

a b c (Å): 4.579 4.579 4.579
angles (deg): 90.00 90.00 90.00
Fractional positions:
1 Al 0.000 0.000 0.000
2 Ge 0.000 0.500 0.500
3 Ge 0.500 0.000 0.500
4 Ge 0.500 0.500 0.000
5 F 0.500 0.500 0.500

Output
Its total moment is 0.0 μB/cell. The value obtained for the distance to the lowest polymorph of the same formula is 0.0 meV/atom. The density of states at the Fermi level comes out at 3.69 states/eV/f.u.



(5)
DFT (PBE) results for AlGe3F after structural relaxation.

a b c (Å): 4.873 4.873 4.873
angles (deg): 90.00 90.00 90.00
Fractional positions:
1 Al 0.000 0.000 0.000
2 Ge 0.000 0.000 0.500
3 Ge 0.000 0.500 0.000
4 Ge 0.500 0.000 0.000
5 F 0.500 0.500 0.500

Output
Its total moment is 0.0 μB/cell. The value obtained for the distance to the lowest polymorph of the same formula is 223.0 meV/atom. The density of states at the Fermi level comes out at 2.81 states/eV/f.u.



(6)
DFT (PBE) results for Al3GeF after structural relaxation.

a b c (Å): 4.486 4.486 4.486
angles (deg): 90.00 90.00 90.00
Fractional positions:
1 Al 0.000 0.000 0.500
2 Al 0.000 0.500 0.000
3 Al 0.500 0.000 0.000
4 Ge 0.500 0.500 0.500
5 F 0.000 0.000 0.000

Output
Its total moment is 0.0 μB/cell. The value obtained for the distance to the lowest polymorph of the same formula is 0.0 meV/atom. The density of states at the Fermi level comes out at 2.38 states/eV/f.u.



(7)
DFT (PBE) results for Al3GeF after structural relaxation.

a b c (Å): 4.990 4.990 4.990
angles (deg): 90.00 90.00 90.00
Fractional positions:
1 Al 0.000 0.000 0.500
2 Al 0.000 0.500 0.000
3 Al 0.500 0.000 0.000
4 Ge 0.000 0.000 0.000
5 F 0.500 0.500 0.500

Output
Its total moment is 0.0 μB/cell. The value obtained for the distance to the lowest polymorph of the same formula is 456.5 meV/atom. The density of states at the Fermi level comes out at 2.32 states/eV/f.u.



(8)
DFT (PBE) results for AlGe2F after structural relaxation.

a b c (Å): 4.485 4.485 4.485
angles (deg): 60.00 60.00 60.00
Fractional positions:
1 Al 0.000 0.000 0.000
2 Ge 0.250 0.250 0.250
3 Ge 0.750 0.750 0.750
4 F 0.500 0.500 0.500

Output
Its total moment is 0.0 μB/cell. The value obtained for the distance to the lowest polymorph of the same formula is 0.0 meV/atom. The density of states at the Fermi level comes out at 0.18 states/eV/f.u.



Copy entry 4 word for word.
DFT (PBE) results for AlGe3F after structural relaxation.

a b c (Å): 4.579 4.579 4.579
angles (deg): 90.00 90.00 90.00
Fractional positions:
1 Al 0.000 0.000 0.000
2 Ge 0.000 0.500 0.500
3 Ge 0.500 0.000 0.500
4 Ge 0.500 0.500 0.000
5 F 0.500 0.500 0.500

Output
Its total moment is 0.0 μB/cell. The value obtained for the distance to the lowest polymorph of the same formula is 0.0 meV/atom. The density of states at the Fermi level comes out at 3.69 states/eV/f.u.



Q: What is the formula in the fourth record?
A: AlGe3F